Here is InRu3F at its PBEsol-relaxed geometry from Alexandria. Energies are from SCAN.

```
InRu3F
1.0
4.1694 0.0000 0.0000
0.0000 4.1694 0.0000
0.0000 0.0000 4.1694
In Ru F
1 3 1
direct
0.0000 0.0000 0.0000
0.0000 0.5000 0.5000
0.5000 0.0000 0.5000
0.5000 0.5000 0.0000
0.5000 0.5000 0.5000
```

Computed properties:
symmetry	Pm-3m, No. 221
ΔE_f (raw)	0.843	eV per atom
total magnetization	0.00	μB/cell

---

Here is InS3F at its PBEsol-relaxed geometry from Alexandria. Energies are from SCAN.

```
InS3F
1.0
4.4419 0.0000 0.0000
0.0000 4.4419 0.0000
0.0000 0.0000 4.4419
In S F
1 3 1
direct
0.0000 0.0000 0.0000
0.0000 0.5000 0.5000
0.5000 0.0000 0.5000
0.5000 0.5000 0.0000
0.5000 0.5000 0.5000
```

Computed properties:
symmetry	Pm-3m, No. 221
ΔE_f (raw)	0.588	eV per atom
total magnetization	0.00	μB/cell

---

Here is ScTaIn2F at its PBEsol-relaxed geometry from Alexandria. Energies are from SCAN.

```
ScTaIn2F
1.0
5.3275 0.0000 0.0000
0.0000 5.3275 0.0000
0.0000 0.0000 4.9285
Sc Ta In F
1 1 2 1
direct
0.0000 0.0000 0.0000
0.0000 0.0000 0.5000
0.0000 0.5000 0.5000
0.5000 0.0000 0.5000
0.5000 0.5000 0.0000
```

Computed properties:
symmetry	P4/mmm, No. 123
ΔE_f (raw)	0.352	eV per atom
total magnetization	0.00	μB/cell

---

Here is InSe3F at its PBEsol-relaxed geometry from Alexandria. Energies are from SCAN.

```
InSe3F
1.0
5.1940 0.0000 0.0000
0.0000 5.1940 0.0000
0.0000 0.0000 5.1940
In Se F
1 3 1
direct
0.0000 0.0000 0.0000
0.0000 0.0000 0.5000
0.0000 0.5000 0.0000
0.5000 0.0000 0.0000
0.5000 0.5000 0.5000
```

Computed properties:
symmetry	Pm-3m, No. 221
ΔE_f (raw)	0.452	eV per atom
total magnetization	4.05	μB/cell

---

Here is InSeF3 at its PBEsol-relaxed geometry from Alexandria. Energies are from SCAN.

```
InSeF3
1.0
4.4345 0.0000 0.0000
0.0000 4.4345 0.0000
0.0000 0.0000 4.4345
In Se F
1 1 3
direct
0.0000 0.0000 0.0000
0.5000 0.5000 0.5000
0.0000 0.5000 0.5000
0.5000 0.0000 0.5000
0.5000 0.5000 0.0000
```

Computed properties:
symmetry	Pm-3m, No. 221
polymorph energy (0 for the lowest one)	528	meV per atom
ΔE_f (raw)	-1.040	eV per atom
total magnetization	0.00	μB/cell

---

Here is InSeF3 at its PBEsol-relaxed geometry from Alexandria. Energies are from SCAN.

```
InSeF3
1.0
4.2718 0.0000 0.0000
0.0000 4.2718 0.0000
0.0000 0.0000 4.2718
In Se F
1 1 3
direct
0.0000 0.0000 0.0000
0.5000 0.5000 0.5000
0.0000 0.0000 0.5000
0.0000 0.5000 0.0000
0.5000 0.0000 0.0000
```

Computed properties:
symmetry	Pm-3m, No. 221
polymorph energy (0 for the lowest one)	0	meV per atom
ΔE_f (raw)	-1.568	eV per atom
total magnetization	2.01	μB/cell